A plane-wave DFT calculation with GGA-PBEsol was carried out for crystalline AgHgH3 at its relaxed geometry.

POSCAR file:
```
AgHgH3
1.0
3.826 0.000 0.000
0.000 3.826 0.000
0.000 0.000 3.826
H Hg Ag
3 1 1
Cartesian
0.000 1.913 0.000
1.913 0.000 0.000
0.000 0.000 1.913
0.000 0.000 0.000
1.913 1.913 1.913
```

Output
- Calculated volume: 56.0 Å³/cell
- Crystal system: cubic
- VASP energy: -2.08 eV/atom
- Space group: Pm-3m (221)

***

A plane-wave DFT calculation with GGA-PBEsol was carried out for crystalline AgHg3H at its relaxed geometry.

POSCAR file:
```
AgHg3H
1.0
4.434 0.000 0.000
0.000 4.434 0.000
0.000 0.000 4.434
Hg H Ag
3 1 1
Cartesian
2.217 0.000 0.000
0.000 0.000 2.217
0.000 2.217 0.000
0.000 0.000 0.000
2.217 2.217 2.217
```

Output
- Calculated volume: 87.2 Å³/cell
- Crystal system: cubic
- VASP energy: -1.29 eV/atom
- Space group: Pm-3m (221)

***

A plane-wave DFT calculation with GGA-PBEsol was carried out for crystalline Ag2HgH2 at its relaxed geometry.

POSCAR file:
```
Ag2HgH2
1.0
-0.409 -2.808 -1.686
-1.574 -1.321 2.583
-4.133 4.071 -2.546
H Ag Hg
2 2 1
Cartesian
-3.349 0.342 0.243
-2.767 -0.401 -1.892
-2.662 -1.411 -0.235
-3.454 1.352 -1.414
0.000 0.000 0.000
```

Output
- Calculated volume: 64.2 Å³/cell
- Crystal system: tetragonal
- VASP energy: -2.46 eV/atom
- Space group: I4/mmm (139)

***

A plane-wave DFT calculation with GGA-PBEsol was carried out for crystalline AgHgHPd2 at its relaxed geometry.

POSCAR file:
```
AgHgHPd2
1.0
4.050 0.000 0.000
0.000 4.050 0.000
0.000 0.000 4.090
Ag H Hg Pd
1 1 1 2
Cartesian
0.000 0.000 2.045
0.000 0.000 0.000
2.025 2.025 2.045
0.000 2.025 0.000
2.025 0.000 0.000
```

Output
- Calculated volume: 67.1 Å³/cell
- Crystal system: tetragonal
- VASP energy: -4.00 eV/atom
- Space group: P4/mmm (123)

***

A plane-wave DFT calculation with GGA-PBEsol was carried out for crystalline AgHgSb2H at its relaxed geometry.

POSCAR file:
```
AgHgSb2H
1.0
-3.870 1.522 -3.107
1.800 -3.189 -3.805
-3.025 -3.914 1.850
Ag H Sb Hg
1 1 2 1
Cartesian
0.000 0.000 0.000
-2.547 -2.791 -2.531
-1.512 -1.957 0.925
0.900 -1.595 -1.902
-1.935 0.761 -1.553
```

Output
- Calculated volume: 144.8 Å³/cell
- Crystal system: tetragonal
- VASP energy: -2.25 eV/atom
- Space group: P4/mmm (123)

***

A plane-wave DFT calculation with GGA-PBEsol was carried out for crystalline AgHI2 at its relaxed geometry.

POSCAR file:
```
AgHI2
1.0
5.078 0.000 0.000
2.539 4.397 0.000
2.539 1.466 4.146
Ag H I
1 1 2
Cartesian
5.078 2.932 2.073
0.000 0.000 0.000
7.616 4.397 3.109
2.539 1.466 1.036
```

Output
- Calculated volume: 92.6 Å³/cell
- Crystal system: cubic
- VASP energy: -1.88 eV/atom
- Space group: Fm-3m (225)